A plane-wave DFT calculation with PBE-GGA was carried out for an optimized crystal structure of YTm3Ru.

Computed properties:
E above lowest polymorph   0 meV/atom
Crystal system   monoclinic
Energy of formation   -219 meV per atom
E_tot   -6.050 eV/atom
Volume   284.1 Å³ per cell

a b c (Å): 7.1887 7.1887 7.1726
angles (deg): 107.16 113.25 108.17
With the nearest neighbours (Å) after each atom.
Positions (direct):
Tm1 0.2425 0.4519 0.3006  1 Ru 2.64
Tm2 0.7035 0.4455 0.1490  1 Ru 2.64
Tm3 0.2965 0.5545 0.8510  1 Ru 2.64
Tm4 0.1513 0.9418 0.6994  1 Ru 2.64
Tm5 0.8487 0.0582 0.3006  1 Ru 2.64
Tm6 0.7575 0.5481 0.6994  1 Ru 2.64
Y1 0.2896 0.9471 0.2366  1 Ru 2.68
Y2 0.7104 0.0529 0.7634  1 Ru 2.68
Ru1 0.3700 0.2530 0.6230  3 Tm 2.64, 1 Y 2.68
Ru2 0.6300 0.7470 0.3770  3 Tm 2.64, 1 Y 2.68

***

A plane-wave DFT calculation with PBE-GGA was carried out for an optimized crystal structure of Ba4YRe.

Computed properties:
Crystal system   cubic
Energy of formation   1331 meV per atom
E_tot   -3.103 eV/atom
Volume   248.1 Å³ per cell

a b c (Å): 7.0529 7.0529 7.0529
angles (deg): 60.00 60.00 60.00
With the nearest neighbours (Å) after each atom.
Positions (direct):
Ba1 0.3760 0.8721 0.3760  6 Ba 3.50-3.55
Ba2 0.8721 0.3760 0.3760  6 Ba 3.50-3.55
Ba3 0.3760 0.3760 0.8721  6 Ba 3.50-3.55
Ba4 0.3760 0.3760 0.3760  6 Ba 3.50-3.55
Y1 0.0000 0.0000 0.0000  12 Ba 4.14, 4 Re 4.32
Re1 0.7500 0.7500 0.7500  12 Ba 4.13, 4 Y 4.32

***

A plane-wave DFT calculation with PBE-GGA was carried out for an optimized crystal structure of Ba3HfNi.

Computed properties:
Crystal system   cubic
Energy of formation   701 meV per atom
E_tot   -3.599 eV/atom
Volume   208.6 Å³ per cell

a b c (Å): 5.9305 5.9305 5.9305
angles (deg): 90.00 90.00 90.00
With the nearest neighbours (Å) after each atom.
Positions (direct):
Hf1 0.5000 0.5000 0.5000  12 Ba 4.19
Ba1 0.5000 0.0000 0.0000  2 Ni 2.97
Ba2 0.0000 0.0000 0.5000  2 Ni 2.97
Ba3 0.0000 0.5000 0.0000  2 Ni 2.97
Ni1 0.0000 0.0000 0.0000  6 Ba 2.97

***

A plane-wave DFT calculation with PBE-GGA was carried out for an optimized crystal structure of LaY2AlCd.

Computed properties:
Crystal system   tetragonal
Energy of formation   913 meV per atom
E_tot   -3.590 eV/atom
Volume   178.6 Å³ per cell

a b c (Å): 5.6797 5.6797 5.5369
angles (deg): 90.00 90.00 90.00
With the nearest neighbours (Å) after each atom.
Positions (direct):
La1 0.0000 0.0000 0.0000  2 Al 2.77, 4 Y 2.84
Y1 0.5000 0.0000 0.0000  2 La 2.84
Y2 0.0000 0.5000 0.0000  2 La 2.84
Cd1 0.5000 0.5000 0.5000  8 Y 3.97, 4 Al 4.02
Al1 0.0000 0.0000 0.5000  2 La 2.77

***

A plane-wave DFT calculation with PBE-GGA was carried out for an optimized crystal structure of Pb2WCl.

Computed properties:
E above lowest polymorph   602 meV/atom
Crystal system   cubic
E_form (uncorrected)   0.953 eV per atom
E_tot   -4.601 eV/atom
Volume   99.3 Å³ per cell

a b c (Å): 5.1971 5.1971 5.1971
angles (deg): 60.00 60.00 60.00
With the nearest neighbours (Å) after each atom.
Positions (direct):
W1 0.5000 0.5000 0.5000  8 Pb 3.18
Cl1 0.0000 0.0000 0.0000  8 Pb 3.18
Pb1 0.7500 0.7500 0.7500  4 Cl 3.18, 4 W 3.18
Pb2 0.2500 0.2500 0.2500  4 Cl 3.18, 4 W 3.18

***

A plane-wave DFT calculation with PBE-GGA was carried out for an optimized crystal structure of KLa2Sc.

Computed properties:
E above lowest polymorph   281 meV/atom
Crystal system   orthorhombic
Energy of formation   474 meV per atom
E_tot   -3.847 eV/atom
Volume   144.5 Å³ per cell

a b c (Å): 6.5670 6.5670 3.5636
angles (deg): 90.00 90.00 109.93
With the nearest neighbours (Å) after each atom.
Positions (direct):
Sc1 0.5000 0.0000 0.5000  2 Sc 3.56, 8 La 3.74, 2 K 3.77
K1 0.0000 0.5000 0.5000  2 K 3.56, 8 La 3.74, 2 Sc 3.77
La1 0.5000 0.5000 0.0000  4 La 3.56-3.77, 4 K 3.74, 4 Sc 3.74
La2 0.0000 0.0000 0.0000  4 La 3.56-3.77, 4 Sc 3.74, 4 K 3.74

***

A plane-wave DFT calculation with PBE-GGA was carried out for an optimized crystal structure of Mg2SbRh.

Computed properties:
Crystal system   monoclinic
E_form (uncorrected)   -0.334 eV per atom
E_tot   -3.999 eV/atom
Volume   74.8 Å³ per cell

a b c (Å): 3.7386 3.2966 6.9020
angles (deg): 61.61 90.00 90.00
With the nearest neighbours (Å) after each atom.
Positions (direct):
Rh1 0.5000 0.2500 0.2500  8 Mg 2.83, 2 Sb 3.04
Mg1 0.0000 0.5296 0.4703  1 Mg 2.68, 4 Rh 2.83
Mg2 0.0000 0.9704 0.0297  1 Mg 2.68, 4 Rh 2.83
Sb1 0.5000 0.7500 0.7500  8 Mg 3.01-3.02, 2 Rh 3.04, 2 Sb 3.30

***

A plane-wave DFT calculation with PBE-GGA was carried out for an optimized crystal structure of PrNd5Sm2Y.

Computed properties:
Crystal system   tetragonal
Energy of formation   275 meV per atom
E_tot   -4.672 eV/atom
Volume   634.9 Å³ per cell

a b c (Å): 9.0216 9.0216 10.0766
angles (deg): 116.59 116.59 90.00
With the nearest neighbours (Å) after each atom.
Positions (direct):
Nd1 0.3455 0.8455 0.2737  1 Sm 3.10, 1 Y 3.19
Nd2 0.9282 0.4282 0.2737  1 Sm 3.10, 1 Y 3.19
Nd3 0.4282 0.3455 0.2737  1 Sm 3.10, 1 Y 3.19
Nd4 0.5718 0.6545 0.7263  1 Sm 3.10, 1 Y 3.19
Nd5 0.8455 0.9282 0.2737  1 Sm 3.10, 1 Y 3.19
Nd6 0.1545 0.0718 0.7263  1 Sm 3.10, 1 Y 3.19
Nd7 0.0000 0.0000 0.0000  4 Sm 3.63, 8 Nd 3.87, 2 Pr 3.90
Nd8 0.0718 0.5718 0.7263  1 Sm 3.10, 1 Y 3.19
Nd9 0.6545 0.1545 0.7263  1 Sm 3.10, 1 Y 3.19
Nd10 0.5000 0.5000 0.0000  4 Sm 3.63, 8 Nd 3.87, 2 Pr 3.90
Sm1 0.8851 0.6149 0.0000  1 Sm 2.93, 2 Nd 3.10
Sm2 0.1149 0.3851 0.0000  1 Sm 2.93, 2 Nd 3.10
Sm3 0.6149 0.1149 0.0000  1 Sm 2.93, 2 Nd 3.10
Sm4 0.3851 0.8851 0.0000  1 Sm 2.93, 2 Nd 3.10
Y1 0.2500 0.7500 0.5000  4 Nd 3.19
Y2 0.7500 0.2500 0.5000  4 Nd 3.19
Pr1 0.7500 0.7500 0.5000  10 Nd 3.68-3.90
Pr2 0.2500 0.2500 0.5000  10 Nd 3.68-3.90

***

A plane-wave DFT calculation with PBE-GGA was carried out for an optimized crystal structure of IrCCl2.

Computed properties:
E above lowest polymorph   1518 meV/atom
Crystal system   cubic
E_form (uncorrected)   2.150 eV per atom
E_tot   -3.294 eV/atom
Volume   58.1 Å³ per cell

a b c (Å): 4.3467 4.3467 4.3467
angles (deg): 60.00 60.00 60.00
With the nearest neighbours (Å) after each atom.
Positions (direct):
Ir1 0.5000 0.5000 0.5000  8 Cl 2.66
Cl1 0.7500 0.7500 0.7500  4 Ir 2.66, 4 C 2.66
Cl2 0.2500 0.2500 0.2500  4 Ir 2.66, 4 C 2.66
C1 0.0000 0.0000 0.0000  8 Cl 2.66

***

A plane-wave DFT calculation with PBE-GGA was carried out for an optimized crystal structure of Be4SeCl.

Computed properties:
Crystal system   cubic
E_form (uncorrected)   0.602 eV per atom
E_tot   -2.770 eV/atom
Volume   77.5 Å³ per cell

a b c (Å): 4.7851 4.7851 4.7851
angles (deg): 60.00 60.00 60.00
With the nearest neighbours (Å) after each atom.
Positions (direct):
Cl1 0.7500 0.7500 0.7500  12 Be 2.81, 4 Se 2.93
Se1 0.0000 0.0000 0.0000  12 Be 2.80, 4 Cl 2.93
Be1 0.3731 0.3731 0.3731  6 Be 2.36-2.43
Be2 0.8808 0.3731 0.3731  6 Be 2.36-2.43
Be3 0.3731 0.8808 0.3731  6 Be 2.36-2.43
Be4 0.3731 0.3731 0.8808  6 Be 2.36-2.43

***

A plane-wave DFT calculation with PBE-GGA was carried out for an optimized crystal structure of Tb4Ho3Zr.

Computed properties:
Crystal system   monoclinic
Energy of formation   192 meV per atom
E_tot   -4.908 eV/atom
Volume   248.5 Å³ per cell

a b c (Å): 5.5612 3.4643 13.1926
angles (deg): 89.95 102.17 90.00
With the nearest neighbours (Å) after each atom.
Positions (direct):
Tb1 0.7220 0.5001 0.4440  5 Tb 3.13-3.46
Tb2 0.6002 0.5000 0.2003  2 Zr 3.11, 3 Tb 3.14-3.46
Tb3 0.2780 0.4999 0.5560  5 Tb 3.13-3.46
Tb4 0.3998 0.5000 0.7997  2 Zr 3.11, 3 Tb 3.14-3.46
Ho1 0.1531 0.0003 0.3062  2 Ho 3.46, 10 Tb 3.55-3.73
Ho2 0.0000 0.5000 0.0000  4 Zr 3.28, 2 Ho 3.46
Ho3 0.8469 0.9997 0.6938  2 Ho 3.46, 10 Tb 3.55-3.73
Zr1 0.5000 0.0000 0.0000  4 Tb 3.11, 4 Ho 3.28, 2 Zr 3.46

***

A plane-wave DFT calculation with PBE-GGA was carried out for an optimized crystal structure of LiTmBiAu.

Computed properties:
Crystal system   cubic
Energy of formation   -634 meV per atom
E_tot   -4.019 eV/atom
Volume   92.4 Å³ per cell

a b c (Å): 5.0738 5.0738 5.0738
angles (deg): 60.00 60.00 60.00
With the nearest neighbours (Å) after each atom.
Positions (direct):
Li1 0.7500 0.7500 0.7500  4 Bi 3.11, 4 Au 3.11
Au1 0.0000 0.0000 0.0000  4 Li 3.11, 4 Tm 3.11
Tm1 0.2500 0.2500 0.2500  4 Bi 3.11, 4 Au 3.11
Bi1 0.5000 0.5000 0.5000  4 Li 3.11, 4 Tm 3.11